# 1
A PBEsol-optimized structure of AlZn2Tc, computed with meta-GGA SCAN.

```
data_AlZn2Tc
_chemical_formula_sum 'Al2 Zn4 Tc2'
_cell_length_a 3.641
_cell_length_b 3.641
_cell_length_c 8.268
_cell_angle_alpha 90.00
_cell_angle_beta 90.00
_cell_angle_gamma 90.00
_space_group_name_H-M_alt 'I -4 m 2'
_space_group_IT_number 119
_space_group_name_Hall 'I -4 -2'
loop_
_atom_site_label
_atom_site_fract_x
_atom_site_fract_y
_atom_site_fract_z
_atom_site_occupancy
Al1 0.000 0.000 0.000 1
Zn1 0.000 0.000 0.500 1
Zn2 0.000 0.500 0.250 1
Tc1 0.000 0.500 0.750 1
```

Calculated formation energy   -0.27 eV per atom
D(E_F)   0.1 states/eV/cell
Volume   109.60 Å³/cell
Size of the total moment   0.000 μB/atom

# 2
A PBEsol-optimized structure of ZnAu3, computed with meta-GGA SCAN.

```
data_ZnAu3
_chemical_formula_sum 'Zn1 Au3'
_cell_length_a 2.962
_cell_length_b 4.572
_cell_length_c 4.800
_cell_angle_alpha 90.00
_cell_angle_beta 90.00
_cell_angle_gamma 90.00
_space_group_name_H-M_alt 'P m m 2'
_space_group_IT_number 25
_space_group_name_Hall 'P 2 -2'
loop_
_atom_site_label
_atom_site_fract_x
_atom_site_fract_y
_atom_site_fract_z
_atom_site_occupancy
Zn1 0.000 0.000 0.000 1
Au1 0.000 0.500 0.658 1
Au2 0.500 0.000 0.498 1
Au3 0.500 0.500 0.148 1
```

Calculated formation energy   -0.12 eV per atom
D(E_F)   1.0 states/eV/cell
Volume   65.00 Å³/cell
Size of the total moment   0.000 μB/atom